Entry 1:
The following is a DFT calculation (GGA-PBE) of YZr2HgH after structural relaxation.

The structure belongs to space group P4/mmm (No. 123); the cell edges are 4.5096, 4.5096 and 4.7231 Å and the angles 90.00°, 90.00° and 90.00°. The distinct sites, in fractional coordinates, are Y at (0.0000, 0.0000, 0.0000), Zr at (0.0000, 0.5000, 0.5000), Hg at (0.5000, 0.5000, 0.0000) and H at (0.0000, 0.0000, 0.5000).

Its total DFT energy (no corrections) is -28.4 eV/cell.

***

Entry 2:
The following is a DFT calculation (GGA-PBE) of Y2ZrHgH after structural relaxation.

The structure belongs to space group P4/mmm (No. 123); the cell edges are 4.8252, 4.8252 and 4.4708 Å and the angles 90.00°, 90.00° and 90.00°. The distinct sites, in fractional coordinates, are Y at (0.0000, 0.5000, 0.0000), Zr at (0.0000, 0.0000, 0.5000), Hg at (0.5000, 0.5000, 0.5000) and H at (0.0000, 0.0000, 0.0000).

Its total DFT energy (no corrections) is -26.3 eV/cell.

***

Entry 3:
The following is a DFT calculation (GGA-PBE) of ZnHg3H2 after structural relaxation.

The structure belongs to space group P-1 (No. 2); the cell edges are 5.4876, 6.2263 and 7.2745 Å and the angles 82.15°, 88.31° and 80.53°. The distinct sites, in fractional coordinates, are Zn at (0.0941, 0.0538, 0.1469), Hg at (0.0934, 0.5041, 0.2852), Hg at (0.2773, 0.8762, 0.5099), Hg at (0.4425, 0.7639, 0.9417), H at (0.1457, 0.3792, 0.8532) and H at (0.3304, 0.3879, 0.4290).

Its total DFT energy (no corrections) is -14.6 eV/cell.

***

Entry 4:
The following is a DFT calculation (GGA-PBE) of Zn3HgH after structural relaxation.

The structure belongs to space group Pm-3m (No. 221); the cell edges are 4.1919, 4.1919 and 4.1919 Å and the angles 90.00°, 90.00° and 90.00°. The distinct sites, in fractional coordinates, are Zn at (0.0000, 0.0000, 0.5000), Hg at (0.5000, 0.5000, 0.5000) and H at (0.0000, 0.0000, 0.0000).

Its total DFT energy (no corrections) is -6.0 eV/cell.

***

Entry 5:
The following is a DFT calculation (GGA-PBE) of ZnHg2H2 after structural relaxation.

The structure belongs to space group P4/mbm (No. 127); the cell edges are 6.0216, 6.0216 and 4.1107 Å and the angles 90.00°, 90.00° and 90.00°. The distinct sites, in fractional coordinates, are Zn at (0.0000, 0.0000, 0.0000), Hg at (0.1776, 0.3224, 0.5000) and H at (0.2036, 0.2964, 0.0000).

For the energy above the lowest structure with this stoichiometry, the calculation gives 292.9 meV/atom.

***

Entry 6:
The following is a DFT calculation (GGA-PBE) of ZnHg3H after structural relaxation.

The structure belongs to space group P2/c (No. 13); the cell edges are 6.5013, 6.5474 and 12.7985 Å and the angles 90.00°, 106.14° and 90.00°. The distinct sites, in fractional coordinates, are Zn at (0.0011, 0.2498, 0.0917), Hg at (0.3039, 0.2489, 0.2953), Hg at (0.3140, 0.0108, 0.5539), Hg at (0.3137, 0.4903, 0.5534) and H at (0.0166, 0.2509, 0.7241).

For the energy above the lowest structure with this stoichiometry, the calculation gives 0.0 meV/atom.

***

Entry 7:
The following is a DFT calculation (GGA-PBE) of ZnHg2H2 after structural relaxation.

The structure belongs to space group I4/mmm (No. 139); the cell edges are 3.3355, 3.3355 and 13.1178 Å and the angles 90.00°, 90.00° and 90.00°. The distinct sites, in fractional coordinates, are Zn at (0.0000, 0.0000, 0.0000), Hg at (0.0000, 0.0000, 0.3606) and H at (0.0000, 0.5000, 0.2500).

For the energy above the lowest structure with this stoichiometry, the calculation gives 421.1 meV/atom.

***

Entry 8:
The following is a DFT calculation (GGA-PBE) of Zn5Hg12H3 after structural relaxation.

The structure belongs to space group Ia-3d (No. 230); the cell edges are 15.6283, 15.6283 and 15.6283 Å and the angles 90.00°, 90.00° and 90.00°. The distinct sites, in fractional coordinates, are Zn at (0.0000, 0.0000, 0.0000), Zn at (0.0000, 0.2500, 0.3750), Hg at (0.0243, 0.0970, 0.6470) and H at (0.0000, 0.2500, 0.1250).

Its total DFT energy (no corrections) is -114.8 eV/cell.

***

Entry 9:
The following is a DFT calculation (GGA-PBE) of Zn2HgH2 after structural relaxation.

The structure belongs to space group I4/mmm (No. 139); the cell edges are 3.2474, 3.2474 and 12.2971 Å and the angles 90.00°, 90.00° and 90.00°. The distinct sites, in fractional coordinates, are Zn at (0.0000, 0.0000, 0.1604), Hg at (0.0000, 0.0000, 0.5000) and H at (0.0000, 0.5000, 0.2500).

Its total DFT energy (no corrections) is -15.8 eV/cell.

***

Entry 10:
The following is a DFT calculation (GGA-PBE) of ZnHgH2 after structural relaxation.

The structure belongs to space group Fm-3m (No. 225); the cell edges are 5.7791, 5.7791 and 5.7791 Å and the angles 90.00°, 90.00° and 90.00°. The distinct sites, in fractional coordinates, are Zn at (0.0000, 0.0000, 0.0000), Hg at (0.0000, 0.0000, 0.5000) and H at (0.2500, 0.2500, 0.2500).

For the energy above the lowest structure with this stoichiometry, the calculation gives 625.2 meV/atom.

***

Entry 11:
The following is a DFT calculation (GGA-PBE) of ZnHg2H2 after structural relaxation.

The structure belongs to space group C2/m (No. 12); the cell edges are 5.1567, 22.3477 and 4.8887 Å and the angles 90.00°, 118.73° and 90.00°. The distinct sites, in fractional coordinates, are Zn at (0.0000, 0.2005, 0.0000), Hg at (0.1753, 0.3237, 0.3390), H at (0.0909, 0.0000, 0.3019) and H at (0.2440, 0.5000, 0.6278).

For the energy above the lowest structure with this stoichiometry, the calculation gives 0.0 meV/atom.

***

Entry 12:
The following is a DFT calculation (GGA-PBE) of ZnHgH2 after structural relaxation.

The structure belongs to space group Fd-3m (No. 227, origin choice 2); the cell edges are 7.8647, 7.8647 and 7.8647 Å and the angles 90.00°, 90.00° and 90.00°. The distinct sites, in fractional coordinates, are Zn at (0.1250, 0.1250, 0.1250), Hg at (0.1250, 0.1250, 0.6250) and H at (0.0000, 0.0000, 0.0000).

For the energy above the lowest structure with this stoichiometry, the calculation gives 0.0 meV/atom.

***

Entry 13:
The following is a DFT calculation (GGA-PBE) of ZnHg2H2 after structural relaxation.

The structure belongs to space group P4/mbm (No. 127); the cell edges are 7.1532, 7.1532 and 3.7766 Å and the angles 90.00°, 90.00° and 90.00°. The distinct sites, in fractional coordinates, are Zn at (0.0000, 0.0000, 0.0000), Hg at (0.1515, 0.3485, 0.0000) and H at (0.1485, 0.3515, 0.5000).

For the energy above the lowest structure with this stoichiometry, the calculation gives 261.6 meV/atom.

***

Entry 14:
The following is a DFT calculation (GGA-PBE) of ZnHg3H after structural relaxation.

The structure belongs to space group Pm-3m (No. 221); the cell edges are 4.7089, 4.7089 and 4.7089 Å and the angles 90.00°, 90.00° and 90.00°. The distinct sites, in fractional coordinates, are Zn at (0.0000, 0.0000, 0.0000), Hg at (0.0000, 0.5000, 0.5000) and H at (0.5000, 0.5000, 0.5000).

For the energy above the lowest structure with this stoichiometry, the calculation gives 337.0 meV/atom.

***

Entry 15:
The following is a DFT calculation (GGA-PBE) of Zr2Hg2H after structural relaxation.

The structure belongs to space group P4/mbm (No. 127); the cell edges are 6.0562, 6.0562 and 5.2270 Å and the angles 90.00°, 90.00° and 90.00°. The distinct sites, in fractional coordinates, are Zr at (0.1650, 0.3350, 0.0000), Hg at (0.1681, 0.6681, 0.5000) and H at (0.0000, 0.0000, 0.0000).

Its total DFT energy (no corrections) is -42.9 eV/cell.

***

Entry 16:
The following is a DFT calculation (GGA-PBE) of Zr2HgH after structural relaxation.

The structure belongs to space group I-42d (No. 122); the cell edges are 5.4394, 5.4394 and 10.8245 Å and the angles 90.00°, 90.00° and 90.00°. The distinct sites, in fractional coordinates, are Zr at (0.0758, 0.2500, 0.1250), Hg at (0.0000, 0.0000, 0.5000) and H at (0.0000, 0.0000, 0.0000).

For the energy above the lowest structure with this stoichiometry, the calculation gives 398.8 meV/atom.

***

Entry 17:
The following is a DFT calculation (GGA-PBE) of ZrHg2H2 after structural relaxation.

The structure belongs to space group P4/mbm (No. 127); the cell edges are 6.0234, 6.0234 and 4.4150 Å and the angles 90.00°, 90.00° and 90.00°. The distinct sites, in fractional coordinates, are Zr at (0.0000, 0.0000, 0.0000), Hg at (0.2501, 0.2499, 0.5000) and H at (0.2489, 0.2511, 0.0000).

Its total DFT energy (no corrections) is -31.4 eV/cell.

***

Entry 18:
The following is a DFT calculation (GGA-PBE) of ZrHgH2 after structural relaxation.

The structure belongs to space group I-42d (No. 122); the cell edges are 4.4493, 4.4493 and 11.2192 Å and the angles 90.00°, 90.00° and 90.00°. The distinct sites, in fractional coordinates, are Zr at (0.0000, 0.0000, 0.0000), Hg at (0.0000, 0.0000, 0.5000) and H at (0.1327, 0.2500, 0.1250).

For the energy above the lowest structure with this stoichiometry, the calculation gives 257.3 meV/atom.

***

Entry 19:
The following is a DFT calculation (GGA-PBE) of ZrHgH2 after structural relaxation.

The structure belongs to space group R3m (No. 160, hexagonal axes); the cell edges are 3.3603, 3.3603 and 16.7759 Å and the angles 90.00°, 90.00° and 120.00°. The distinct sites, in fractional coordinates, are Zr at (0.0000, 0.0000, 0.0000), Hg at (0.0000, 0.0000, 0.1773), H at (0.0000, 0.0000, 0.3758) and H at (0.0000, 0.0000, 0.6400).

For the energy above the lowest structure with this stoichiometry, the calculation gives 0.0 meV/atom.

***

Entry 20:
The following is a DFT calculation (GGA-PBE) of Zr2HgH after structural relaxation.

The structure belongs to space group R-3m (No. 166, hexagonal axes); the cell edges are 3.2645, 3.2645 and 22.5989 Å and the angles 90.00°, 90.00° and 120.00°. The distinct sites, in fractional coordinates, are Zr at (0.0000, 0.0000, 0.2247), Hg at (0.0000, 0.0000, 0.0000) and H at (0.0000, 0.0000, 0.5000).

For the energy above the lowest structure with this stoichiometry, the calculation gives 64.7 meV/atom.

***

Entry 21:
The following is a DFT calculation (GGA-PBE) of Zr4Hg3H2 after structural relaxation.

The structure belongs to space group C2/m (No. 12); the cell edges are 12.3778, 3.3079 and 7.9981 Å and the angles 90.00°, 101.98° and 90.00°. The distinct sites, in fractional coordinates, are Zr at (0.1198, 0.0000, 0.4316), Zr at (0.2061, 0.5000, 0.1438), Hg at (0.0000, 0.0000, 0.0000), Hg at (0.0837, 0.5000, 0.7391) and H at (0.2192, 0.5000, 0.4071).

Its total DFT energy (no corrections) is -87.4 eV/cell.